Entry one
DFT (PBE) results for an optimized crystal structure of TaTe2W.

Cell: 6.753 6.753 6.753 Å, 90.00 90.00 90.00°
Positions (direct):
1 Ta 0.000 0.000 0.000
2 Ta 0.000 0.500 0.500
3 Ta 0.500 0.000 0.500
4 Ta 0.500 0.500 0.000
5 Te 0.250 0.250 0.250
6 Te 0.250 0.250 0.750
7 Te 0.250 0.750 0.250
8 Te 0.250 0.750 0.750
9 Te 0.750 0.250 0.250
10 Te 0.750 0.250 0.750
11 Te 0.750 0.750 0.250
12 Te 0.750 0.750 0.750
13 W 0.000 0.000 0.500
14 W 0.000 0.500 0.000
15 W 0.500 0.000 0.000
16 W 0.500 0.500 0.500

Values from the calculation:
Total magnetization = 0.00 μB/f.u.
DOS(E_F) = 18.9 states/eV per cell
Space group = Fm-3m

Entry two
DFT (PBE) results for an optimized crystal structure of TaTe2W.

Cell: 3.358 5.426 9.153 Å, 90.00 90.00 90.00°
Positions (direct):
1 Ta 0.000 0.000 0.000
2 Ta 0.500 0.500 0.500
3 Te 0.000 0.500 0.237
4 Te 0.000 0.500 0.763
5 Te 0.500 0.000 0.263
6 Te 0.500 0.000 0.737
7 W 0.000 0.000 0.500
8 W 0.500 0.500 0.000

Values from the calculation:
Total magnetization = 0.00 μB/f.u.
DOS(E_F) = 6.8 states/eV per cell
Space group = Immm

Winner for stability: entry one